No. 1
Here is a relaxed HgIrSe2 crystal from Alexandria via LeMat-Bulk. Energies are from GGA-PBE.

Cell: 2.909 2.909 35.307 Å, 90.00 90.00 120.00°
Positions (direct):
Hg: 0.000 0.000 0.000
Hg: 0.333 0.667 0.667
Hg: 0.667 0.333 0.333
Ir: 0.000 0.000 0.500
Ir: 0.333 0.667 0.167
Ir: 0.667 0.333 0.833
Se: 0.000 0.000 0.432
Se: 0.000 0.000 0.568
Se: 0.333 0.667 0.099
Se: 0.333 0.667 0.235
Se: 0.667 0.333 0.765
Se: 0.667 0.333 0.901

Results
The calculation puts the electronic total energy at -3.83 eV/atom. Its space group is R-3m, No. 166. As for the crystal system: trigonal.

---

No. 2
Here is a relaxed KBa2Na2 crystal from Alexandria via LeMat-Bulk. Energies are from GGA-PBE.

Cell: 4.563 4.563 27.463 Å, 90.00 90.00 90.00°
Positions (direct):
K: 0.000 0.000 0.000
K: 0.500 0.500 0.500
Ba: 0.000 0.000 0.375
Ba: 0.000 0.000 0.625
Ba: 0.500 0.500 0.125
Ba: 0.500 0.500 0.875
Na: 0.000 0.500 0.250
Na: 0.000 0.500 0.750
Na: 0.500 0.000 0.250
Na: 0.500 0.000 0.750

Results
Its distance to the lowest polymorph of the same formula is 89 meV per atom. The calculation puts the electronic total energy at -1.38 eV/atom. The value obtained for the formation energy is 13.16 kJ/mol of atoms. Its space group is I4/mmm, No. 139. As for the crystal system: tetragonal.

---

No. 3
Here is a relaxed Nd2Tm3Sc2 crystal from Alexandria via LeMat-Bulk. Energies are from GGA-PBE.

Cell: 5.176 23.333 3.469 Å, 90.00 90.00 90.00°
Positions (direct):
Nd: 0.000 0.076 0.000
Nd: 0.000 0.924 0.000
Nd: 0.500 0.424 0.000
Nd: 0.500 0.576 0.000
Tm: 0.000 0.342 0.500
Tm: 0.000 0.500 0.500
Tm: 0.000 0.658 0.500
Tm: 0.500 0.000 0.500
Tm: 0.500 0.158 0.500
Tm: 0.500 0.842 0.500
Sc: 0.000 0.217 0.000
Sc: 0.000 0.783 0.000
Sc: 0.500 0.283 0.000
Sc: 0.500 0.717 0.000

Results
Its distance to the lowest polymorph of the same formula is 0 meV per atom. The calculation puts the electronic total energy at -5.05 eV/atom. The value obtained for the formation energy is 3.16 kJ/mol of atoms. Its space group is Cmmm, No. 65. As for the crystal system: orthorhombic.

---

No. 4
Here is a relaxed BaIrOs2 crystal from Alexandria via LeMat-Bulk. Energies are from GGA-PBE.

Cell: 5.014 5.014 17.142 Å, 90.00 90.00 90.00°
Positions (direct):
Ba: 0.000 0.250 0.375
Ba: 0.000 0.750 0.625
Ba: 0.500 0.250 0.125
Ba: 0.500 0.750 0.875
Ir: 0.000 0.250 0.875
Ir: 0.000 0.750 0.125
Ir: 0.500 0.250 0.625
Ir: 0.500 0.750 0.375
Os: 0.000 0.000 0.000
Os: 0.000 0.500 0.000
Os: 0.250 0.250 0.750
Os: 0.250 0.750 0.250
Os: 0.500 0.000 0.500
Os: 0.500 0.500 0.500
Os: 0.750 0.250 0.750
Os: 0.750 0.750 0.250

Results
Its distance to the lowest polymorph of the same formula is 502 meV per atom. The calculation puts the electronic total energy at -7.53 eV/atom. The value obtained for the formation energy is 75.42 kJ/mol of atoms. Its space group is I4_1/amd, No. 141. As for the crystal system: tetragonal.

---

No. 5
Here is a relaxed CsFeHg3 crystal from Alexandria via LeMat-Bulk. Energies are from GGA-PBE.

Cell: 5.360 5.360 5.360 Å, 90.00 90.00 90.00°
Positions (direct):
Cs: 0.000 0.000 0.000
Fe: 0.500 0.500 0.500
Hg: 0.000 0.500 0.500
Hg: 0.500 0.000 0.500
Hg: 0.500 0.500 0.000

Results
Its distance to the lowest polymorph of the same formula is 0 meV per atom. The calculation puts the electronic total energy at -1.93 eV/atom. The value obtained for the formation energy is 11.17 kJ/mol of atoms. Its space group is Pm-3m, No. 221. As for the crystal system: cubic.

---

No. 6
Here is a relaxed Zr3Ag5H12 crystal from Alexandria via LeMat-Bulk. Energies are from GGA-PBE.

Cell: 10.190 10.190 10.190 Å, 109.47 109.47 109.47°
Positions (direct):
Zr: 0.125 0.250 0.375
Zr: 0.125 0.375 0.750
Zr: 0.250 0.375 0.125
Zr: 0.250 0.875 0.625
Zr: 0.375 0.125 0.250
Zr: 0.375 0.750 0.125
Zr: 0.625 0.250 0.875
Zr: 0.625 0.875 0.750
Zr: 0.750 0.125 0.375
Zr: 0.750 0.625 0.875
Zr: 0.875 0.625 0.250
Zr: 0.875 0.750 0.625
Ag: 0.000 0.000 0.000
Ag: 0.000 0.000 0.500
Ag: 0.000 0.500 0.000
Ag: 0.000 0.500 0.500
Ag: 0.125 0.750 0.875
Ag: 0.125 0.875 0.250
Ag: 0.250 0.125 0.875
Ag: 0.250 0.625 0.375
Ag: 0.375 0.250 0.625
Ag: 0.375 0.625 0.750
Ag: 0.500 0.000 0.000
Ag: 0.500 0.000 0.500
Ag: 0.500 0.500 0.000
Ag: 0.500 0.500 0.500
Ag: 0.625 0.375 0.250
Ag: 0.625 0.750 0.375
Ag: 0.750 0.375 0.625
Ag: 0.750 0.875 0.125
Ag: 0.875 0.125 0.750
Ag: 0.875 0.250 0.125
H: 0.062 0.234 0.147
H: 0.062 0.327 0.914
H: 0.086 0.647 0.413
H: 0.086 0.938 0.673
H: 0.087 0.734 0.673
H: 0.087 0.853 0.414
H: 0.147 0.062 0.234
H: 0.147 0.586 0.913
H: 0.173 0.234 0.587
H: 0.173 0.438 0.586
H: 0.234 0.147 0.062
H: 0.234 0.587 0.173
H: 0.266 0.327 0.913
H: 0.266 0.438 0.353
H: 0.327 0.913 0.266
H: 0.327 0.914 0.062
H: 0.353 0.266 0.438
H: 0.353 0.587 0.914
H: 0.413 0.086 0.647
H: 0.413 0.827 0.766
H: 0.414 0.087 0.853
H: 0.414 0.827 0.562
H: 0.438 0.353 0.266
H: 0.438 0.586 0.173
H: 0.562 0.414 0.827
H: 0.562 0.647 0.734
H: 0.586 0.173 0.438
H: 0.586 0.913 0.147
H: 0.587 0.173 0.234
H: 0.587 0.914 0.353
H: 0.647 0.413 0.086
H: 0.647 0.734 0.562
H: 0.673 0.086 0.938
H: 0.673 0.087 0.734
H: 0.734 0.562 0.647
H: 0.734 0.673 0.087
H: 0.766 0.413 0.827
H: 0.766 0.853 0.938
H: 0.827 0.562 0.414
H: 0.827 0.766 0.413
H: 0.853 0.414 0.087
H: 0.853 0.938 0.766
H: 0.913 0.147 0.586
H: 0.913 0.266 0.327
H: 0.914 0.062 0.327
H: 0.914 0.353 0.587
H: 0.938 0.673 0.086
H: 0.938 0.766 0.853

Results
The calculation puts the electronic total energy at -4.02 eV/atom. Its space group is Ia-3d, No. 230. As for the crystal system: cubic.

---

No. 7
Here is a relaxed CeHoSb crystal from Alexandria via LeMat-Bulk. Energies are from GGA-PBE.

Cell: 8.908 8.908 8.908 Å, 32.18 32.18 32.18°
Positions (direct):
Ce: 0.143 0.143 0.143
Ce: 0.857 0.857 0.857
Ho: 0.289 0.289 0.289
Ho: 0.711 0.711 0.711
Sb: 0.414 0.414 0.414
Sb: 0.586 0.586 0.586

Results
The calculation puts the electronic total energy at -5.35 eV/atom. Its space group is R-3m, No. 166. As for the crystal system: trigonal.

---

No. 8
Here is a relaxed PrHoPt10 crystal from Alexandria via LeMat-Bulk. Energies are from GGA-PBE.

Cell: 4.452 5.404 9.311 Å, 90.00 90.00 90.00°
Positions (direct):
Pr: 0.000 0.000 0.000
Ho: 0.000 0.500 0.500
Pt: 0.000 0.000 0.337
Pt: 0.000 0.000 0.663
Pt: 0.000 0.500 0.172
Pt: 0.000 0.500 0.828
Pt: 0.500 0.000 0.500
Pt: 0.500 0.251 0.252
Pt: 0.500 0.251 0.748
Pt: 0.500 0.500 0.000
Pt: 0.500 0.749 0.252
Pt: 0.500 0.749 0.748

Results
The calculation puts the electronic total energy at -6.51 eV/atom. The value obtained for the formation energy is -67.39 kJ/mol of atoms. Its space group is Pmmm, No. 47. As for the crystal system: orthorhombic.

---

No. 9
Here is a relaxed GdPdAu crystal from Alexandria via LeMat-Bulk. Energies are from GGA-PBE.

Cell: 6.575 6.575 6.575 Å, 90.00 90.00 90.00°
Positions (direct):
Gd: 0.000 0.000 0.000
Gd: 0.000 0.500 0.500
Gd: 0.500 0.000 0.500
Gd: 0.500 0.500 0.000
Pd: 0.250 0.250 0.750
Pd: 0.250 0.750 0.250
Pd: 0.750 0.250 0.250
Pd: 0.750 0.750 0.750
Au: 0.000 0.000 0.500
Au: 0.000 0.500 0.000
Au: 0.500 0.000 0.000
Au: 0.500 0.500 0.500

Results
Its distance to the lowest polymorph of the same formula is 107 meV per atom. The calculation puts the electronic total energy at -8.21 eV/atom. The value obtained for the formation energy is -67.17 kJ/mol of atoms. Its space group is F-43m, No. 216. As for the crystal system: cubic.

---

No. 10
Here is a relaxed NbPSe2Br crystal from Alexandria via LeMat-Bulk. Energies are from GGA-PBE.

Cell: 5.056 5.056 5.265 Å, 90.00 90.00 90.00°
Positions (direct):
Nb: 0.000 0.000 0.000
P: 0.500 0.500 0.500
Se: 0.000 0.500 0.000
Se: 0.500 0.000 0.000
Br: 0.000 0.000 0.500

Results
Its distance to the lowest polymorph of the same formula is 0 meV per atom. The calculation puts the electronic total energy at -4.50 eV/atom. Its space group is P4/mmm, No. 123. As for the crystal system: tetragonal.

---

No. 11
Here is a relaxed MgGaHgIr2 crystal from Alexandria via LeMat-Bulk. Energies are from GGA-PBE.

Cell: 5.055 5.055 4.718 Å, 90.00 90.00 90.00°
Positions (direct):
Mg: 0.000 0.000 0.000
Ga: 0.500 0.500 0.000
Hg: 0.500 0.500 0.500
Ir: 0.000 0.500 0.500
Ir: 0.500 0.000 0.500

Results
The calculation puts the electronic total energy at -3.11 eV/atom. The value obtained for the formation energy is 136.89 kJ/mol of atoms. Its space group is P4/mmm, No. 123. As for the crystal system: tetragonal.

---

No. 12
Here is a relaxed TbNdDy2Th crystal from Alexandria via LeMat-Bulk. Energies are from GGA-PBE.

Cell: 8.934 8.934 6.435 Å, 90.00 90.00 137.59°
Positions (direct):
Tb: 0.229 0.771 0.750
Tb: 0.771 0.229 0.250
Nd: 0.343 0.657 0.250
Nd: 0.657 0.343 0.750
Dy: 0.246 0.246 0.000
Dy: 0.246 0.246 0.500
Dy: 0.754 0.754 0.000
Dy: 0.754 0.754 0.500
Th: 0.156 0.844 0.250
Th: 0.844 0.156 0.750

Results
The calculation puts the electronic total energy at -4.82 eV/atom. The value obtained for the formation energy is 37.33 kJ/mol of atoms. Its space group is Cmcm, No. 63. As for the crystal system: orthorhombic.

---

No. 13
Here is a relaxed Zr3NbTc crystal from Alexandria via LeMat-Bulk. Energies are from GGA-PBE.

Cell: 4.995 4.995 4.995 Å, 90.00 90.00 90.00°
Positions (direct):
Zr: 0.000 0.000 0.500
Zr: 0.000 0.500 0.000
Zr: 0.500 0.000 0.000
Nb: 0.000 0.000 0.000
Tc: 0.500 0.500 0.500

Results
Its distance to the lowest polymorph of the same formula is 1357 meV per atom. The calculation puts the electronic total energy at -7.91 eV/atom. The value obtained for the formation energy is 126.17 kJ/mol of atoms. Its space group is Pm-3m, No. 221. As for the crystal system: cubic.

---

No. 14
Here is a relaxed Li2Nd2Sb2N crystal from Alexandria via LeMat-Bulk. Energies are from GGA-PBE.

Cell: 4.550 4.550 15.639 Å, 90.00 90.00 90.00°
Positions (direct):
Li: 0.000 0.500 0.000
Li: 0.000 0.500 0.500
Li: 0.500 0.000 0.000
Li: 0.500 0.000 0.500
Nd: 0.000 0.000 0.146
Nd: 0.000 0.000 0.854
Nd: 0.500 0.500 0.354
Nd: 0.500 0.500 0.646
Sb: 0.000 0.000 0.364
Sb: 0.000 0.000 0.636
Sb: 0.500 0.500 0.136
Sb: 0.500 0.500 0.864
N: 0.000 0.000 0.000
N: 0.500 0.500 0.500

Results
The calculation puts the electronic total energy at -5.14 eV/atom. Its space group is I4/mmm, No. 139. As for the crystal system: tetragonal.

---

No. 15
Here is a relaxed K2BeSe crystal from Alexandria via LeMat-Bulk. Energies are from GGA-PBE.

Cell: 7.887 7.887 7.887 Å, 90.00 90.00 90.00°
Positions (direct):
K: 0.250 0.250 0.250
K: 0.250 0.250 0.750
K: 0.250 0.750 0.250
K: 0.250 0.750 0.750
K: 0.750 0.250 0.250
K: 0.750 0.250 0.750
K: 0.750 0.750 0.250
K: 0.750 0.750 0.750
Be: 0.000 0.000 0.000
Be: 0.000 0.500 0.500
Be: 0.500 0.000 0.500
Be: 0.500 0.500 0.000
Se: 0.000 0.000 0.500
Se: 0.000 0.500 0.000
Se: 0.500 0.000 0.000
Se: 0.500 0.500 0.500

Results
Its distance to the lowest polymorph of the same formula is 309 meV per atom. The calculation puts the electronic total energy at -2.35 eV/atom. Its space group is Fm-3m, No. 225. As for the crystal system: cubic.

---

No. 16
Here is a relaxed Pm6C2O3F crystal from Alexandria via LeMat-Bulk. Energies are from GGA-PBE.

Cell: 8.086 8.086 7.308 Å, 102.59 102.59 25.94°
Positions (direct):
Pm: 0.002 0.002 0.272
Pm: 0.327 0.327 0.906
Pm: 0.332 0.332 0.420
Pm: 0.668 0.668 0.580
Pm: 0.673 0.673 0.094
Pm: 0.998 0.998 0.728
C: 0.161 0.161 0.325
C: 0.839 0.839 0.675
O: 0.170 0.170 0.840
O: 0.500 0.500 0.500
O: 0.830 0.830 0.160
F: 0.500 0.500 0.000

Results
The calculation puts the electronic total energy at -7.23 eV/atom. Its space group is C2/m, No. 12. As for the crystal system: monoclinic.

---

No. 17
Here is a relaxed NaPuSn2I8 crystal from Alexandria via LeMat-Bulk. Energies are from GGA-PBE.

Cell: 7.251 9.263 7.814 Å, 90.00 90.94 90.00°
Positions (direct):
Na: 0.000 0.000 0.000
Pu: 0.000 0.500 0.000
Sn: 0.500 0.244 0.500
Sn: 0.500 0.756 0.500
I: 0.237 0.500 0.669
I: 0.244 0.257 0.158
I: 0.244 0.743 0.158
I: 0.262 0.000 0.652
I: 0.738 0.000 0.348
I: 0.756 0.257 0.842
I: 0.756 0.743 0.842
I: 0.763 0.500 0.331

Results
The calculation puts the electronic total energy at -3.79 eV/atom. Its space group is P2/m, No. 10. As for the crystal system: monoclinic.

---

No. 18
Here is a relaxed Fe2CoW crystal from Alexandria via LeMat-Bulk. Energies are from GGA-PBE.

Cell: 2.576 4.129 4.836 Å, 90.00 100.04 90.00°
Positions (direct):
Fe: 0.242 0.000 0.258
Fe: 0.758 0.000 0.742
Co: 0.000 0.500 0.500
W: 0.500 0.500 0.000

Results
Its distance to the lowest polymorph of the same formula is 109 meV per atom. The calculation puts the electronic total energy at -9.12 eV/atom. The value obtained for the formation energy is 12.65 kJ/mol of atoms. Its space group is P2/m, No. 10. As for the crystal system: monoclinic.

---

No. 19
Here is a relaxed Mg2AuBr crystal from Alexandria via LeMat-Bulk. Energies are from GGA-PBE.

Cell: 3.358 3.538 7.558 Å, 90.00 90.00 90.00°
Positions (direct):
Mg: 0.000 0.000 0.202
Mg: 0.000 0.000 0.798
Au: 0.500 0.500 0.000
Br: 0.500 0.000 0.500

Results
Its distance to the lowest polymorph of the same formula is 0 meV per atom. The calculation puts the electronic total energy at -2.71 eV/atom. Its space group is Pmmm, No. 47. As for the crystal system: orthorhombic.

---

No. 20
Here is a relaxed ScMoP2 crystal from Alexandria via LeMat-Bulk. Energies are from GGA-PBE.

Cell: 6.220 6.220 6.220 Å, 90.00 90.00 90.00°
Positions (direct):
Sc: 0.000 0.000 0.000
Sc: 0.000 0.500 0.500
Sc: 0.500 0.000 0.500
Sc: 0.500 0.500 0.000
Mo: 0.000 0.000 0.500
Mo: 0.000 0.500 0.000
Mo: 0.500 0.000 0.000
Mo: 0.500 0.500 0.500
P: 0.250 0.250 0.250
P: 0.250 0.250 0.750
P: 0.250 0.750 0.250
P: 0.250 0.750 0.750
P: 0.750 0.250 0.250
P: 0.750 0.250 0.750
P: 0.750 0.750 0.250
P: 0.750 0.750 0.750

Results
Its distance to the lowest polymorph of the same formula is 238 meV per atom. The calculation puts the electronic total energy at -7.63 eV/atom. The value obtained for the formation energy is -61.48 kJ/mol of atoms. Its space group is Fm-3m, No. 225. As for the crystal system: cubic.

---

| no. | M_tot (μB per formula unit) |
| --- | --- |
| 1 | 0.000 |
| 2 | 0.000 |
| 3 | 0.000 |
| 4 | 0.000 |
| 5 | 2.107 |
| 6 | 0.000 |
| 7 | 1.244 |
| 8 | 0.000 |
| 9 | 7.077 |
| 10 | 2.665 |
| 11 | 0.000 |
| 12 | 0.000 |
| 13 | 0.510 |
| 14 | 0.000 |
| 15 | 0.000 |
| 16 | 0.000 |
| 17 | 5.000 |
| 18 | 5.855 |
| 19 | 0.000 |
| 20 | 0.000 |